4
Lattice="2.8092 0.0000 0.0000 0.0000 2.8092 0.0000 0.0000 0.0000 7.0296" Properties=species:S:1:pos:R:3 comment="meta-GGA SCAN BeOsAu2, single point on PBEsol structure" sg="P4/mmm (123)" formation_enthalpy_0k_kj_per_mol_fu=113.8 n_ef_per_ev_fu=2.34 pbc="T T T"
Os 1.4046 1.4046 3.5148
Au 0.0000 0.0000 5.5416
Au 0.0000 0.0000 1.4880
Be 1.4046 1.4046 0.0000